Below is crystalline RbZr2AsPb at its relaxed geometry, with properties calculated at the GGA-PBEsol level.

Calculated values
Calculated volume, Å³ per atom: 34.3
Calculated formation energy, eV per atom: 1.071
Total magnetic moment, μB/f.u.: 2.2

The structure in POSCAR format:
```
RbZr2AsPb
1.0
5.494 0.000 0.000
0.000 5.494 0.000
0.000 0.000 5.689
Pb As Rb Zr
1 1 1 2
direct
0.000 0.000 0.000 Pb
0.000 0.000 0.500 As
0.500 0.500 0.500 Rb
0.000 0.500 0.000 Zr
0.500 0.000 0.000 Zr
```

---

Below is crystalline Re2AsPb at its relaxed geometry, with properties calculated at the GGA-PBEsol level.

Calculated values
Calculated volume, Å³ per atom: 16.3
Calculated formation energy, eV per atom: 0.900
Total magnetic moment, μB/f.u.: 0.0
E above lowest polymorph, eV/atom: 0.636

The structure in POSCAR format:
```
Re2AsPb
1.0
-1.188 -2.434 -3.620
-0.035 -4.515 0.224
-3.930 -2.235 -0.030
Pb Re As
1 2 1
direct
0.500 0.500 0.500 Pb
0.250 0.250 0.250 Re
0.750 0.750 0.750 Re
0.000 0.000 0.000 As
```

---

Question: Which value of total magnetic moment does entry 2 give?
Answer: 0.0 μB/f.u.

---

Question: The lowest calculated volume belongs to which entry?
Answer: Re2AsPb

---

Copy entry 1 word for word.
Below is crystalline RbZr2AsPb at its relaxed geometry, with properties calculated at the GGA-PBEsol level.

Calculated values
Calculated volume, Å³ per atom: 34.3
Calculated formation energy, eV per atom: 1.071
Total magnetic moment, μB/f.u.: 2.2

The structure in POSCAR format:
```
RbZr2AsPb
1.0
5.494 0.000 0.000
0.000 5.494 0.000
0.000 0.000 5.689
Pb As Rb Zr
1 1 1 2
direct
0.000 0.000 0.000 Pb
0.000 0.000 0.500 As
0.500 0.500 0.500 Rb
0.000 0.500 0.000 Zr
0.500 0.000 0.000 Zr
```

---

Question: Among the records above, which one has the highest calculated volume?
Answer: RbZr2AsPb